Record 1
Material: Cs3NdAg2F9
Method: DFT, PBE-GGA
State: optimized geometry

The structure in CIF format:
```
data_Cs3NdAg2F9
_symmetry_space_group_name_H-M 'P -3 m 1'
_symmetry_Int_Tables_number 164
_symmetry_space_group_name_Hall '-P 3 2"'
_cell_length_a 6.5693
_cell_length_b 6.5693
_cell_length_c 8.1970
_cell_angle_alpha 90.00
_cell_angle_beta 90.00
_cell_angle_gamma 120.00
loop_
_atom_site_label
_atom_site_type_symbol
_atom_site_fract_x
_atom_site_fract_y
_atom_site_fract_z
Cs1 Cs 0.0000 0.0000 0.0000
Cs2 Cs 0.3333 0.6667 0.6993
Nd1 Nd 0.0000 0.0000 0.5000
Ag1 Ag 0.3333 0.6667 0.1602
F1 F 0.0000 0.5000 0.0000
F2 F 0.1627 0.3254 0.3366
```

Computed properties:
The value obtained for the formation energy (no corrections) is -2.567 eV/atom. The value obtained for the volume is 306.4 Å³/cell.


Record 2
Material: LaCo2As
Method: DFT, PBE-GGA
State: optimized geometry

The structure in CIF format:
```
data_LaCo2As
_symmetry_space_group_name_H-M 'F -4 3 m'
_symmetry_Int_Tables_number 216
_symmetry_space_group_name_Hall 'F -4 2 3'
_cell_length_a 6.656
_cell_length_b 6.656
_cell_length_c 6.656
_cell_angle_alpha 90.00
_cell_angle_beta 90.00
_cell_angle_gamma 90.00
loop_
_atom_site_label
_atom_site_type_symbol
_atom_site_fract_x
_atom_site_fract_y
_atom_site_fract_z
La1 La 0.000 0.000 0.000
Co1 Co 0.000 0.000 0.500
Co2 Co 0.250 0.250 0.250
As1 As 0.250 0.250 0.750
```

Computed properties:
The value obtained for the volume is 294.9 Å³/cell. The value obtained for the formation energy is 0.141 eV/atom.


Record 3
Material: ReAgBr2
Method: DFT, PBE-GGA
State: optimized geometry

The structure in CIF format:
```
data_ReAgBr2
_symmetry_space_group_name_H-M 'I m m 2'
_symmetry_Int_Tables_number 44
_symmetry_space_group_name_Hall 'I 2 -2'
_cell_length_a 3.043
_cell_length_b 4.625
_cell_length_c 12.823
_cell_angle_alpha 90.00
_cell_angle_beta 90.00
_cell_angle_gamma 90.00
loop_
_atom_site_label
_atom_site_type_symbol
_atom_site_fract_x
_atom_site_fract_y
_atom_site_fract_z
Re1 Re 0.000 0.000 0.000
Ag1 Ag 0.000 0.500 0.689
Br1 Br 0.000 0.000 0.527
Br2 Br 0.000 0.500 0.338
```

Computed properties:
The value obtained for the polymorph energy (0 for the lowest one) is 323.2 meV per atom. The value obtained for the formation energy (no corrections) is 0.761 eV/atom. The value obtained for the volume is 180.5 Å³/cell.


Record 4
Material: PAu4
Method: DFT, PBE-GGA
State: optimized geometry

The structure in CIF format:
```
data_PAu4
_symmetry_space_group_name_H-M 'I m -3 m'
_symmetry_Int_Tables_number 229
_symmetry_space_group_name_Hall '-I 4 2 3'
_cell_length_a 5.854
_cell_length_b 5.854
_cell_length_c 5.854
_cell_angle_alpha 90.00
_cell_angle_beta 90.00
_cell_angle_gamma 90.00
loop_
_atom_site_label
_atom_site_type_symbol
_atom_site_fract_x
_atom_site_fract_y
_atom_site_fract_z
P1 P 0.000 0.000 0.000
Au1 Au 0.250 0.250 0.250
```

Computed properties:
The value obtained for the polymorph energy (0 for the lowest one) is 0.0 meV per atom. The value obtained for the volume is 200.6 Å³/cell. The value obtained for the formation energy is 0.167 eV/atom.


Record 5
Material: ZrBiSb2
Method: DFT, PBE-GGA
State: optimized geometry

The structure in CIF format:
```
data_ZrBiSb2
_symmetry_space_group_name_H-M 'I -4 2 d'
_symmetry_Int_Tables_number 122
_symmetry_space_group_name_Hall 'I -4 2bw'
_cell_length_a 6.828
_cell_length_b 6.828
_cell_length_c 13.593
_cell_angle_alpha 90.00
_cell_angle_beta 90.00
_cell_angle_gamma 90.00
loop_
_atom_site_label
_atom_site_type_symbol
_atom_site_fract_x
_atom_site_fract_y
_atom_site_fract_z
Zr1 Zr 0.000 0.000 0.000
Bi1 Bi 0.000 0.000 0.500
Sb1 Sb 0.220 0.250 0.125
```

Computed properties:
The value obtained for the formation energy (no corrections) is 0.185 eV/atom. The value obtained for the volume is 633.8 Å³/cell.


Record 6
Material: NbInH2I
Method: DFT, PBE-GGA
State: optimized geometry

The structure in CIF format:
```
data_NbInH2I
_symmetry_space_group_name_H-M 'P 4/m m m'
_symmetry_Int_Tables_number 123
_symmetry_space_group_name_Hall '-P 4 2'
_cell_length_a 3.973
_cell_length_b 3.973
_cell_length_c 5.870
_cell_angle_alpha 90.00
_cell_angle_beta 90.00
_cell_angle_gamma 90.00
loop_
_atom_site_label
_atom_site_type_symbol
_atom_site_fract_x
_atom_site_fract_y
_atom_site_fract_z
Nb1 Nb 0.000 0.000 0.000
In1 In 0.500 0.500 0.000
H1 H 0.000 0.500 0.500
I1 I 0.000 0.000 0.500
```

Computed properties:
The value obtained for the volume is 92.7 Å³/cell.


Record 7
Material: Sc2TlPd
Method: DFT, PBE-GGA
State: optimized geometry

The structure in CIF format:
```
data_Sc2TlPd
_symmetry_space_group_name_H-M 'R -3 m'
_symmetry_Int_Tables_number 166
_symmetry_space_group_name_Hall '-R 3 2"'
_cell_length_a 3.5058
_cell_length_b 3.5058
_cell_length_c 28.7393
_cell_angle_alpha 90.00
_cell_angle_beta 90.00
_cell_angle_gamma 120.00
loop_
_atom_site_label
_atom_site_type_symbol
_atom_site_fract_x
_atom_site_fract_y
_atom_site_fract_z
Sc1 Sc 0.0000 0.0000 0.1058
Tl1 Tl 0.0000 0.0000 0.0000
Pd1 Pd 0.0000 0.0000 0.5000
```

Computed properties:
The value obtained for the volume is 305.9 Å³/cell. The value obtained for the formation energy is -0.188 eV/atom.


Record 8
Material: TcHgOs2
Method: DFT, PBE-GGA
State: optimized geometry

The structure in CIF format:
```
data_TcHgOs2
_symmetry_space_group_name_H-M 'I -4 2 d'
_symmetry_Int_Tables_number 122
_symmetry_space_group_name_Hall 'I -4 2bw'
_cell_length_a 7.347
_cell_length_b 7.347
_cell_length_c 5.353
_cell_angle_alpha 90.00
_cell_angle_beta 90.00
_cell_angle_gamma 90.00
loop_
_atom_site_label
_atom_site_type_symbol
_atom_site_fract_x
_atom_site_fract_y
_atom_site_fract_z
Tc1 Tc 0.000 0.000 0.000
Hg1 Hg 0.000 0.000 0.500
Os1 Os 0.197 0.750 0.125
```

Computed properties:
The value obtained for the volume is 288.9 Å³/cell. The value obtained for the formation energy is 1.090 eV/atom.


Record 9
Material: SmMg4Cd4
Method: DFT, PBE-GGA
State: optimized geometry

The structure in CIF format:
```
data_SmMg4Cd4
_symmetry_space_group_name_H-M 'P 42/n m c'
_symmetry_Int_Tables_number 137
_cell_length_a 6.601
_cell_length_b 6.601
_cell_length_c 9.981
_cell_angle_alpha 90.00
_cell_angle_beta 90.00
_cell_angle_gamma 90.00
loop_
_symmetry_equiv_pos_as_xyz
'x,y,z'
'-x,-y,-z'
'-y+1/2,x,z+1/2'
'y+1/2,-x,-z+1/2'
'-x+1/2,-y+1/2,z'
'x+1/2,y+1/2,-z'
'y,-x+1/2,z+1/2'
'-y,x+1/2,-z+1/2'
'x+1/2,-y,-z'
'-x+1/2,y,z'
'-y,-x,-z+1/2'
'y,x,z+1/2'
'-x,y+1/2,-z'
'x,-y+1/2,z'
'y+1/2,x+1/2,-z+1/2'
'-y+1/2,-x+1/2,z+1/2'
loop_
_atom_site_label
_atom_site_type_symbol
_atom_site_fract_x
_atom_site_fract_y
_atom_site_fract_z
Sm1 Sm 0.250 0.750 0.250
Mg1 Mg 0.029 0.250 0.172
Cd1 Cd 0.021 0.250 0.466
```

Computed properties:
The value obtained for the volume is 434.9 Å³/cell. The value obtained for the formation energy is -0.084 eV/atom.


Record 10
Material: SiAgF2
Method: DFT, PBE-GGA
State: optimized geometry

The structure in CIF format:
```
data_SiAgF2
_symmetry_space_group_name_H-M 'F m -3 m'
_symmetry_Int_Tables_number 225
_symmetry_space_group_name_Hall '-F 4 2 3'
_cell_length_a 6.077
_cell_length_b 6.077
_cell_length_c 6.077
_cell_angle_alpha 90.00
_cell_angle_beta 90.00
_cell_angle_gamma 90.00
loop_
_atom_site_label
_atom_site_type_symbol
_atom_site_fract_x
_atom_site_fract_y
_atom_site_fract_z
Si1 Si 0.000 0.000 0.000
Ag1 Ag 0.000 0.000 0.500
F1 F 0.250 0.250 0.250
```

Computed properties:
The value obtained for the polymorph energy (0 for the lowest one) is 755.0 meV per atom. The value obtained for the formation energy (no corrections) is -0.603 eV/atom. The value obtained for the volume is 224.4 Å³/cell.


Record 11
Material: CoSi2Ag
Method: DFT, PBE-GGA
State: optimized geometry

The structure in CIF format:
```
data_CoSi2Ag
_symmetry_space_group_name_H-M 'F m -3 m'
_symmetry_Int_Tables_number 225
_symmetry_space_group_name_Hall '-F 4 2 3'
_cell_length_a 6.028
_cell_length_b 6.028
_cell_length_c 6.028
_cell_angle_alpha 90.00
_cell_angle_beta 90.00
_cell_angle_gamma 90.00
loop_
_atom_site_label
_atom_site_type_symbol
_atom_site_fract_x
_atom_site_fract_y
_atom_site_fract_z
Co1 Co 0.000 0.000 0.000
Si1 Si 0.250 0.250 0.250
Ag1 Ag 0.000 0.000 0.500
```

Computed properties:
The value obtained for the polymorph energy (0 for the lowest one) is 353.1 meV per atom. The value obtained for the formation energy (no corrections) is 0.310 eV/atom. The value obtained for the volume is 219.0 Å³/cell.


Record 12
Material: Ba2HgIrN
Method: DFT, PBE-GGA
State: optimized geometry

The structure in CIF format:
```
data_Ba2HgIrN
_symmetry_space_group_name_H-M 'P 4/m m m'
_symmetry_Int_Tables_number 123
_symmetry_space_group_name_Hall '-P 4 2'
_cell_length_a 5.922
_cell_length_b 5.922
_cell_length_c 3.824
_cell_angle_alpha 90.00
_cell_angle_beta 90.00
_cell_angle_gamma 90.00
loop_
_atom_site_label
_atom_site_type_symbol
_atom_site_fract_x
_atom_site_fract_y
_atom_site_fract_z
Ba1 Ba 0.000 0.500 0.000
Hg1 Hg 0.000 0.000 0.500
Ir1 Ir 0.500 0.500 0.500
N1 N 0.500 0.500 0.000
```

Computed properties:
The value obtained for the formation energy (no corrections) is -0.528 eV/atom. The value obtained for the volume is 134.1 Å³/cell.


One value per record, in order, for uncorrected energy: -0.1675 -0.2134 -0.1433 -0.1300 -0.1831 -0.1218 -0.1927 -0.2643 -0.0634 -0.1326 -0.1797 -0.1762 Ha/atom.